VASP calculation (PBE) on a relaxed Fe2SiCl crystal.

Calculated values
* space-group type: P4mm, No. 99
* electronic total energy: -0.21999 Ha/atom
* E_form (uncorrected): 0.063 eV/atom
* energy above the lowest structure with this stoichiometry: 145 meV per atom
* total magnetization: 4.26 μB per formula unit

a b c (Å): 2.979 2.979 7.435
angles (deg): 90.00 90.00 90.00
Site moments in Bohr magnetons follow the coordinates.
Fractional positions:
1 Cl 0.500 0.500 0.839  0.14
2 Fe 0.000 0.000 0.031  3.00
3 Fe 0.500 0.500 0.258  1.28
4 Si 0.000 0.000 0.372  -0.10